No. 1
PBE BaYSb2, relaxed; DOS at the Fermi energy = 0.890 states/eV/atom; space group = No. 166; polymorph energy (0 for the lowest one) = 0.000 eV per atom
1.0
4.682 -0.041 0.030
2.376 4.035 0.030
2.302 1.302 7.713
Y Sb Ba
1 2 1
Direct
0.750 0.750 0.750
0.015 0.015 0.956
0.485 0.485 0.544
0.250 0.250 0.250

***

No. 2
PBE PmBPdO5, relaxed; DOS at the Fermi energy = 0.136 states/eV/atom; total energy = -7.098 eV/atom; space group = No. 15
1.0
5.427 -0.059 0.013
-1.641 5.173 0.013
-1.559 -2.106 6.303
O Pd Pm B
10 2 2 2
Direct
0.106 0.672 0.866
0.672 0.106 0.366
0.328 0.894 0.634
0.423 0.252 0.080
0.252 0.423 0.580
0.894 0.328 0.134
0.577 0.748 0.920
0.748 0.577 0.420
0.100 0.900 0.250
0.900 0.100 0.750
0.000 0.000 0.500
0.000 0.000 0.000
0.645 0.355 0.750
0.355 0.645 0.250
0.694 0.306 0.250
0.306 0.694 0.750

***

No. 3
PBE Rb2PrO3, relaxed; DOS at the Fermi energy = 0.956 states/eV/atom; total energy = -5.489 eV/atom; space group = No. 70
1.0
12.739 -0.028 0.022
10.350 6.354 0.020
2.389 -1.420 6.222
Rb O Pr
8 12 4
Direct
0.673 0.673 0.827
0.747 0.747 0.253
0.503 0.503 0.997
0.577 0.577 0.423
0.423 0.423 0.577
0.997 0.997 0.503
0.253 0.253 0.747
0.827 0.827 0.673
0.108 0.588 0.954
0.900 0.296 0.662
0.350 0.954 0.588
0.433 0.067 0.067
0.662 0.142 0.900
0.296 0.900 0.142
0.817 0.183 0.183
0.067 0.433 0.433
0.142 0.662 0.296
0.183 0.817 0.817
0.588 0.108 0.350
0.954 0.350 0.108
0.916 0.916 0.084
0.166 0.166 0.334
0.084 0.084 0.916
0.334 0.334 0.166

***

No. 4
PBE ZnCdSb2Te, relaxed; DOS at the Fermi energy = 1.095 states/eV/atom; space group = No. 123; polymorph energy (0 for the lowest one) = 0.000 eV per atom
1.0
-0.416 4.821 1.934
1.882 -1.669 4.564
5.106 1.120 -1.695
Zn Cd Te Sb
1 1 1 2
Direct
0.000 0.000 0.000
0.500 0.500 0.500
0.000 0.000 0.500
0.000 0.500 0.000
0.500 0.000 0.000

***

No. 5
PBE Si2PbAu, relaxed; DOS at the Fermi energy = 0.378 states/eV/atom; total energy = -4.231 eV/atom; space group = No. 12
1.0
4.369 0.006 0.008
2.692 3.442 0.008
1.623 0.793 5.719
Pb Si Au
1 2 1
Direct
0.250 0.250 0.250
0.486 0.486 0.591
0.014 0.014 0.909
0.750 0.750 0.750

***

No. 6
PBE NaZr2InAg, relaxed; DOS at the Fermi energy = 1.286 states/eV/atom; energy of formation from the pure elements = 0.79 eV/atom; space group = No. 123
1.0
5.289 0.000 0.000
0.000 5.138 0.000
0.000 0.000 5.289
Ag Na Zr In
1 1 2 1
Direct
0.000 0.000 0.000
0.500 0.500 0.500
0.000 0.000 0.500
0.500 0.000 0.000
0.000 0.500 0.000

***

No. 7
PBE YTa2Cl, relaxed; DOS at the Fermi energy = 0.767 states/eV/atom; space group = No. 38; polymorph energy (0 for the lowest one) = 0.000 eV per atom
1.0
-1.163 0.463 3.083
-0.016 -3.428 0.509
7.181 -1.349 2.912
Ta Y Cl
2 1 1
Direct
0.500 0.202 0.222
0.000 0.789 0.047
0.000 0.571 0.484
0.500 0.938 0.747

***

No. 8
PBE Hg3IrPt, relaxed; DOS at the Fermi energy = 1.167 states/eV/atom; energy of formation from the pure elements = 1.12 eV/atom; space group = No. 221; polymorph energy (0 for the lowest one) = 0.112 eV per atom
1.0
-3.020 3.433 2.428
-3.948 -3.343 -0.184
1.446 -1.959 4.568
Ir Hg Pt
1 3 1
Direct
0.500 0.500 0.500
0.000 0.000 0.500
0.500 0.000 0.000
0.000 0.500 0.000
0.000 0.000 0.000

***

No. 9
PBE MnGeBi3, relaxed; DOS at the Fermi energy = 0.842 states/eV/atom; energy of formation from the pure elements = 0.61 eV/atom; space group = No. 221; polymorph energy (0 for the lowest one) = 0.000 eV per atom
1.0
-1.476 4.654 -1.476
-2.334 -2.027 -4.057
-4.288 -0.499 2.717
Bi Ge Mn
3 1 1
Direct
0.000 0.000 0.500
0.500 0.000 0.000
0.000 0.500 0.000
0.500 0.500 0.500
0.000 0.000 0.000

***

No. 10
PBE Tm2NpTl3S6, relaxed; DOS at the Fermi energy = 0.563 states/eV/atom; total energy = -5.795 eV/atom; space group = No. 12
1.0
-4.699 0.462 5.104
-2.089 -0.694 -6.596
2.351 -7.408 1.257
S Tm Tl Np
6 2 3 1
Direct
0.274 0.274 0.805
0.065 0.405 0.196
0.595 0.935 0.804
0.726 0.726 0.195
0.405 0.065 0.196
0.935 0.595 0.804
0.333 0.667 0.000
0.667 0.333 0.000
0.834 0.166 0.500
0.166 0.834 0.500
0.500 0.500 0.500
0.000 0.000 0.000

***

No. 11
PBE RbPmAu2, relaxed; DOS at the Fermi energy = 0.731 states/eV/atom; energy of formation from the pure elements = -0.34 eV/atom; space group = No. 123; polymorph energy (0 for the lowest one) = 0.202 eV per atom
1.0
3.592 0.000 0.000
0.000 5.563 0.000
0.000 0.000 5.563
Pm Au Rb
1 2 1
Direct
0.500 0.000 0.000
0.000 0.500 0.000
0.000 0.000 0.500
0.500 0.500 0.500

***

No. 12
PBE Pm3Ga2Co3B, relaxed; DOS at the Fermi energy = 0.703 states/eV/atom; energy of formation from the pure elements = -0.16 eV/atom; space group = No. 189
1.0
-1.765 -0.202 3.120
-1.751 -6.939 -1.439
6.168 1.539 3.588
B Co Ga Pm
1 3 2 3
Direct
0.000 0.000 0.000
0.500 0.193 0.193
0.500 0.807 0.000
0.500 0.000 0.807
0.500 0.333 0.667
0.500 0.667 0.333
0.000 0.365 0.000
0.000 0.000 0.365
0.000 0.635 0.635

***

- Which of these has the highest DOS at the Fermi energy?
  NaZr2InAg